# PBE+U Rb3V5O14, optimized geometry
data_Rb3V5O14
_chemical_formula_sum 'Rb3 V5 O14'
_cell_length_a 8.8024
_cell_length_b 8.8024
_cell_length_c 5.6100
_cell_angle_alpha 90.00
_cell_angle_beta 90.00
_cell_angle_gamma 120.00
_symmetry_space_group_name_H-M 'P 3 1 m'
_symmetry_Int_Tables_number 157
loop_
_symmetry_equiv_pos_as_xyz
'x,y,z'
'-y,x-y,z'
'-x+y,-x,z'
'y,x,z'
'x-y,-y,z'
'-x,-x+y,z'
loop_
_atom_site_label
_atom_site_type_symbol
_atom_site_fract_x
_atom_site_fract_y
_atom_site_fract_z
Rb1 Rb 0.0000 0.6152 0.0000
V1 V 0.0000 0.2290 0.4855
V2 V 0.3333 0.6667 0.4752
O1 O 0.0000 0.2495 0.7756
O2 O 0.0000 0.8317 0.4224
O3 O 0.1687 0.4606 0.3660
O4 O 0.3333 0.6667 0.7714
# DOS(E_F) (states/eV per cell): 0.00
# Total DFT energy (no corrections) (eV per atom): -6.947
# Volume (Å³ per atom): 17.11